(1)
DFT (GGA-PBEsol) results for an optimized crystal structure of LiTa2Pb.

Structure (CIF):
```
data_LiTa2Pb
_cell_length_a 5.406
_cell_length_b 5.406
_cell_length_c 5.406
_cell_angle_alpha 140.88
_cell_angle_beta 133.97
_cell_angle_gamma 61.96
_space_group_name_H-M_alt 'P 1'
_space_group_IT_number 1
_space_group_name_Hall 'P 1'
loop_
_atom_site_label
_atom_site_fract_x
_atom_site_fract_y
_atom_site_fract_z
Li1 0.000 0.000 0.000
Ta1 0.243 0.743 0.500
Ta2 0.757 0.257 0.500
Pb1 0.500 0.500 0.000
```

**Space group**: Immm
**Formation energy**: 0.26 eV per atom
**M_tot**: 0.0 μB per cell


(2)
DFT (GGA-PBEsol) results for an optimized crystal structure of SrMgCo2.

Structure (CIF):
```
data_SrMgCo2
_cell_length_a 4.819
_cell_length_b 4.819
_cell_length_c 4.819
_cell_angle_alpha 120.95
_cell_angle_beta 112.87
_cell_angle_gamma 95.57
_space_group_name_H-M_alt 'P 1'
_space_group_IT_number 1
_space_group_name_Hall 'P 1'
loop_
_atom_site_label
_atom_site_fract_x
_atom_site_fract_y
_atom_site_fract_z
Sr1 0.000 0.000 0.000
Mg1 0.500 0.500 0.000
Co1 0.329 0.829 0.500
Co2 0.671 0.171 0.500
```

**Excess energy over the best structure of this formula in the dataset**: 1.09 eV per formula unit
**Space group**: Immm
**Formation energy**: 0.60 eV per atom
**M_tot**: 2.6 μB per cell